## FeCuS2N (PBE)

Data for an optimized crystal structure of FeCuS2N.

Computed properties:
The formation energy from raw total energies is 0.535 eV per atom. As for the crystal system: tetragonal. For the excess energy over the best structure of this formula in the dataset, the calculation gives 0.00 eV per formula unit.

Lattice parameters (Å, degrees): 4.6289 4.6289 3.3627 90.00 90.00 90.00
With the nearest neighbours (Å) after each atom.
Fractional coordinates of all 5 atoms:
Fe (0.0000, 0.0000, 0.0000)  2 N 1.68
N (0.0000, 0.0000, 0.5000)  2 Fe 1.68
S (0.5000, 0.0000, 0.0000)  2 Fe 2.31
S (0.0000, 0.5000, 0.0000)  2 Fe 2.31
Cu (0.5000, 0.5000, 0.5000)  8 S 2.86


## CaY2Mo (PBE)

Data for an optimized crystal structure of CaY2Mo.

Computed properties:
As for the crystal system: trigonal. The formation energy comes out at 212.2 kJ/mol of formula units. For the excess energy over the best structure of this formula in the dataset, the calculation gives 1.16 eV per formula unit.

Lattice parameters (Å, degrees): 11.1174 11.1174 11.1174 17.87 17.87 17.87
With the nearest neighbours (Å) after each atom.
Fractional coordinates of all 4 atoms:
Mo (0.7467, 0.7467, 0.7467)  3 Y 2.95, 3 Ca 3.12
Y (0.0138, 0.0138, 0.0138)  3 Mo 2.95
Y (0.2532, 0.2532, 0.2532)  9 Y 3.45-3.67, 3 Ca 3.84
Ca (0.4863, 0.4863, 0.4863)  3 Mo 3.12, 6 Ca 3.45